The following is a DFT calculation (PBE) of an optimized crystal structure of Al2CrRu4.

DOS(E_F)   15.0 states/eV/cell
Formation energy   758 meV/atom

CIF file:
```
data_Al2CrRu4
_chemical_formula_sum 'Al4 Cr2 Ru8'
_cell_length_a 4.3701
_cell_length_b 4.3701
_cell_length_c 12.5913
_cell_angle_alpha 90.00
_cell_angle_beta 90.00
_cell_angle_gamma 90.00
_space_group_name_H-M_alt 'I 4/m m m'
_space_group_IT_number 139
_space_group_name_Hall '-I 4 2'
loop_
_atom_site_label
_atom_site_type_symbol
_atom_site_fract_x
_atom_site_fract_y
_atom_site_fract_z
Al1 Al 0.0000 0.0000 0.1235
Cr1 Cr 0.0000 0.0000 0.5000
Ru1 Ru 0.0000 0.0000 0.3205
Ru2 Ru 0.0000 0.5000 0.0000
```